Entry 1:
The following is a DFT calculation (PBE-GGA) of crystalline CsNaTi2I8 at its relaxed geometry.

```
CsNaTi2I8
1.0
7.7027 0.0000 0.0000
-3.8513 6.6707 0.0000
0.0000 0.0000 11.1685
I Ti Na Cs
8 2 1 1
Direct
0.6713 0.0069 0.3177
0.3356 0.3287 0.3177
0.3287 0.9931 0.6823
0.3333 0.6667 0.9882
0.6644 0.6713 0.6823
0.9931 0.6644 0.3177
0.6667 0.3333 0.0118
0.0069 0.3356 0.6823
0.6667 0.3333 0.2476
0.3333 0.6667 0.7524
0.0000 0.0000 0.5000
0.0000 0.0000 0.0000
```

Uncorrected energy: -0.12649 Ha/atom
Calculated density: 3.7 g cm⁻³
E_form (uncorrected): -88 kJ/mol of atoms

***

Entry 2:
The following is a DFT calculation (PBE-GGA) of crystalline HfPaCr at its relaxed geometry.

```
HfPaCr
1.0
-3.1848 -0.6295 0.0812
0.2415 -0.5737 5.0220
0.2588 7.1713 0.8068
Hf Pa Cr
2 2 2
Direct
0.9278 0.2500 0.8555
0.0722 0.7500 0.1445
0.7714 0.7500 0.5428
0.2286 0.2500 0.4572
0.4165 0.7500 0.8330
0.5835 0.2500 0.1670
```

Uncorrected energy: -0.35085 Ha/atom
Calculated density: 13.3 g cm⁻³